DFT (SCAN) results for a crystal of Mg3Cd2 relaxed with PBEsol.

Structure (POSCAR):
```
Mg3Cd2
1.0
4.784 0.000 0.000
-2.392 4.143 0.000
0.000 0.000 5.733
Mg Cd
3 2
direct
0.000 0.000 0.000
0.333 0.667 0.357
0.667 0.333 0.643
0.333 0.667 0.852
0.667 0.333 0.148
```

Results
The relative energy among the computed polymorphs comes out at 0.0000 eV per atom. The formation enthalpy at 0 K comes out at -0.7 eV/f.u. As for the volume: 113.6 Å³/cell. The calculation puts the total magnetization at 0.0 μB/f.u.

***

DFT (SCAN) results for a crystal of CaBe2Cd relaxed with PBEsol.

Structure (POSCAR):
```
CaBe2Cd
1.0
3.855 0.000 0.000
0.000 3.593 0.000
0.000 0.000 10.206
Ca Be Cd
2 4 2
direct
0.000 0.000 0.000
0.000 0.500 0.500
0.000 0.000 0.284
0.000 0.500 0.784
0.500 0.000 0.376
0.500 0.500 0.876
0.500 0.000 0.704
0.500 0.500 0.204
```

Results
The formation enthalpy at 0 K comes out at 0.7 eV/f.u. As for the volume: 141.4 Å³/cell. The calculation puts the total magnetization at 0.0 μB/f.u.

***

DFT (SCAN) results for a crystal of CsTm2Cl7 relaxed with PBEsol.

Structure (POSCAR):
```
CsTm2Cl7
1.0
13.632 0.000 0.000
0.000 6.809 0.000
0.000 0.000 12.334
Cs Tm Cl
4 8 28
direct
0.036 0.250 0.205
0.464 0.750 0.705
0.536 0.250 0.295
0.964 0.750 0.795
0.244 0.250 0.550
0.248 0.250 0.854
0.252 0.750 0.354
0.256 0.750 0.050
0.744 0.250 0.950
0.748 0.250 0.646
0.752 0.750 0.146
0.756 0.750 0.450
0.112 0.750 0.201
0.130 0.010 0.436
0.130 0.490 0.436
0.133 0.010 0.969
0.133 0.490 0.969
0.182 0.008 0.703
0.182 0.492 0.703
0.318 0.508 0.203
0.318 0.992 0.203
0.367 0.510 0.469
0.367 0.990 0.469
0.370 0.510 0.936
0.370 0.990 0.936
0.388 0.250 0.701
0.612 0.750 0.299
0.630 0.010 0.064
0.630 0.490 0.064
0.633 0.010 0.531
0.633 0.490 0.531
0.682 0.008 0.797
0.682 0.492 0.797
0.818 0.508 0.297
0.818 0.992 0.297
0.867 0.510 0.031
0.867 0.990 0.031
0.870 0.510 0.564
0.870 0.990 0.564
0.888 0.250 0.799
```

Results
The calculation puts the raw formation energy at -2.51 eV/atom. As for the volume: 1144.8 Å³/cell. The calculation puts the total magnetization at 0.0 μB/f.u.

***

DFT (SCAN) results for a crystal of TaMn2AgHg relaxed with PBEsol.

Structure (POSCAR):
```
TaMn2AgHg
1.0
4.535 0.000 0.000
0.000 4.535 0.000
0.000 0.000 5.292
Ta Mn Ag Hg
1 2 1 1
direct
0.000 0.000 0.000
0.000 0.500 0.000
0.500 0.000 0.000
0.500 0.500 0.500
0.000 0.000 0.500
```

Results
The formation enthalpy at 0 K comes out at 5.6 eV/f.u. As for the volume: 108.8 Å³/cell. The calculation puts the total magnetization at 5.3 μB/f.u.

***

DFT (SCAN) results for a crystal of TcHg2Pt relaxed with PBEsol.

Structure (POSCAR):
```
TcHg2Pt
1.0
2.831 0.000 0.000
0.000 5.027 0.000
0.000 0.000 9.696
Tc Hg Pt
2 4 2
direct
0.000 0.000 0.000
0.500 0.500 0.500
0.000 0.500 0.249
0.000 0.500 0.751
0.500 0.000 0.251
0.500 0.000 0.749
0.000 0.000 0.500
0.500 0.500 0.000
```

Results
The relative energy among the computed polymorphs comes out at 0.1281 eV per atom. The formation enthalpy at 0 K comes out at 1.7 eV/f.u. As for the volume: 138.0 Å³/cell. The calculation puts the total magnetization at 1.6 μB/f.u.

***

DFT (SCAN) results for a crystal of Y5Sb relaxed with PBEsol.

Structure (POSCAR):
```
Y5Sb
1.0
3.877 0.000 0.000
0.000 3.877 0.000
0.000 0.000 11.597
Y Sb
5 1
direct
0.000 0.000 0.000
0.000 0.000 0.361
0.000 0.000 0.639
0.500 0.500 0.181
0.500 0.500 0.819
0.500 0.500 0.500
```

Results
The relative energy among the computed polymorphs comes out at 0.0000 eV per atom. The calculation puts the raw formation energy at -0.37 eV/atom. As for the volume: 174.3 Å³/cell. The calculation puts the total magnetization at 0.5 μB/f.u.